(1)
## LiLuTa2 (PBE-GGA)

Data for crystalline LiLuTa2 at its relaxed geometry.

E_tot: -28.6 eV per formula unit

Unit cell a=6.711 b=6.711 c=6.711 alpha=90.00 beta=90.00 gamma=90.00
Space group F-43m (No. 216)
Asymmetric unit:
Li: 0.000 0.000 0.000 [4 per cell]
Lu: 0.250 0.250 0.250 [4 per cell]
Ta: 0.000 0.000 0.500 [4 per cell]
Ta: 0.250 0.250 0.750 [4 per cell]

(2)
## Cu7Ag3 (PBE-GGA)

Data for crystalline Cu7Ag3 at its relaxed geometry.

energy of formation: 75 meV per atom

Unit cell a=14.239 b=2.769 c=7.152 alpha=90.00 beta=104.25 gamma=90.00
Space group C2/m (No. 12)
Asymmetric unit:
Cu: 0.000 0.000 0.000 [2 per cell]
Cu: 0.094 0.500 0.819 [4 per cell]
Cu: 0.100 0.500 0.275 [4 per cell]
Cu: 0.196 0.000 0.080 [4 per cell]
Ag: 0.000 0.000 0.500 [2 per cell]
Ag: 0.200 0.000 0.618 [4 per cell]

(3)
## LiZnFePb (PBE-GGA)

Data for crystalline LiZnFePb at its relaxed geometry.

E_tot: -14.0 eV per formula unit

Unit cell a=6.470 b=6.470 c=6.470 alpha=90.00 beta=90.00 gamma=90.00
Space group F-43m (No. 216)
Asymmetric unit:
Li: 0.000 0.000 0.000 [4 per cell]
Zn: 0.000 0.000 0.500 [4 per cell]
Fe: 0.250 0.250 0.250 [4 per cell]
Pb: 0.250 0.250 0.750 [4 per cell]

Question: Number 1 is which compound?
Answer: LiLuTa2